(1)
This record from Alexandria describes a relaxed structure of InFe2Ni2. The functional is PBE-GGA.

Computed properties:
**DFT formation energy**: 0.11 eV per atom
**Space group**: P4/mbm

Cell lengths 6.9999, 6.9999, 2.7756 Å; angles 90.00, 90.00, 90.00 degrees
Element x y z (fractional)
In  0.0000  0.0000  0.0000
In  0.5000  0.5000  0.0000
Fe  0.1651  0.3349  0.5000
Fe  0.3349  0.8349  0.5000
Fe  0.6651  0.1651  0.5000
Fe  0.8349  0.6651  0.5000
Ni  0.1267  0.6267  0.0000
Ni  0.3733  0.1267  0.0000
Ni  0.6267  0.8733  0.0000
Ni  0.8733  0.3733  0.0000

---

(2)
This record from Alexandria describes a relaxed structure of SnSb2IBr. The functional is PBE-GGA.

Computed properties:
**Space group**: P4/mmm
**Excess energy over the best structure of this formula in the dataset**: 0.0 meV per atom

Cell lengths 5.8210, 5.8210, 5.8649 Å; angles 90.00, 90.00, 90.00 degrees
Element x y z (fractional)
Sn  0.0000  0.0000  0.0000
Sb  0.0000  0.5000  0.0000
Sb  0.5000  0.0000  0.0000
I  0.0000  0.0000  0.5000
Br  0.5000  0.5000  0.5000

---

(3)
This record from Alexandria describes a relaxed structure of ScGaOsPd. The functional is PBE-GGA.

Computed properties:
**DFT formation energy**: -0.50 eV per atom
**Space group**: F-43m

Cell lengths 4.4590, 4.4590, 4.4590 Å; angles 60.00, 60.00, 60.00 degrees
Element x y z (fractional)
Sc  0.0000  0.0000  0.0000
Ga  0.5000  0.5000  0.5000
Os  0.2500  0.2500  0.2500
Pd  0.7500  0.7500  0.7500

---

(4)
This record from Alexandria describes a relaxed structure of CePuGaPb. The functional is PBE-GGA.

Computed properties:
**DFT formation energy**: -0.22 eV per atom
**Space group**: F-43m
**Excess energy over the best structure of this formula in the dataset**: 105.1 meV per atom

Cell lengths 5.3410, 5.3410, 5.3410 Å; angles 60.00, 60.00, 60.00 degrees
Element x y z (fractional)
Ce  0.0000  0.0000  0.0000
Pu  0.5000  0.5000  0.5000
Ga  0.7500  0.7500  0.7500
Pb  0.2500  0.2500  0.2500

---

(5)
This record from Alexandria describes a relaxed structure of GdScNiGe. The functional is PBE-GGA.

Computed properties:
**DFT formation energy**: -0.53 eV per atom
**Space group**: F-43m

Cell lengths 4.8060, 4.8060, 4.8060 Å; angles 60.00, 60.00, 60.00 degrees
Element x y z (fractional)
Gd  0.0000  0.0000  0.0000
Sc  0.5000  0.5000  0.5000
Ni  0.7500  0.7500  0.7500
Ge  0.2500  0.2500  0.2500

---

(6)
This record from Alexandria describes a relaxed structure of LiCeNd2. The functional is PBE-GGA.

Computed properties:
**DFT formation energy**: 0.08 eV per atom
**Space group**: P4/mmm
**Excess energy over the best structure of this formula in the dataset**: 0.0 meV per atom

Cell lengths 3.5832, 3.5832, 9.1582 Å; angles 90.00, 90.00, 90.00 degrees
Element x y z (fractional)
Li  0.0000  0.0000  0.0000
Ce  0.0000  0.0000  0.5000
Nd  0.5000  0.5000  0.2412
Nd  0.5000  0.5000  0.7588